Compound: Cr3FeCu
Source: Alexandria via LeMat-Bulk
Functional: PBE-GGA
Structure: optimized geometry

Lattice parameters (Å, degrees): 4.1676 4.1676 4.1676 90.00 90.00 90.00
Last column: nearest neighbours and their distance in Å.
Element x y z (fractional)
Cr (0.0000, 0.0000, 0.5000)  2 Fe 2.08
Cr (0.0000, 0.5000, 0.0000)  2 Fe 2.08
Cr (0.5000, 0.0000, 0.0000)  2 Fe 2.08
Fe (0.0000, 0.0000, 0.0000)  6 Cr 2.08
Cu (0.5000, 0.5000, 0.5000)  12 Cr 2.95

Compound: CrFeCu2
Source: Alexandria via LeMat-Bulk
Functional: PBE-GGA
Structure: optimized geometry

Lattice parameters (Å, degrees): 8.3865 2.4492 4.6165 90.00 96.65 90.00
Last column: nearest neighbours and their distance in Å.
Element x y z (fractional)
Cr (0.0000, 0.0000, 0.0000)  3 Fe 2.39-2.57, 2 Cr 2.45, 7 Cu 2.58-2.63
Cr (0.5000, 0.5000, 0.0000)  3 Fe 2.39-2.57, 2 Cr 2.45, 7 Cu 2.58-2.63
Fe (0.2444, 0.0000, 0.7795)  3 Cr 2.39-2.57, 2 Fe 2.45, 7 Cu 2.59-2.63
Fe (0.7444, 0.5000, 0.7795)  3 Cr 2.39-2.57, 2 Fe 2.45, 7 Cu 2.59-2.63
Cu (0.2488, 0.5000, 0.2758)  5 Cu 2.45-2.54, 3 Cr 2.58-2.62, 4 Fe 2.59-2.63
Cu (0.4975, 0.0000, 0.5045)  5 Cu 2.45-2.54, 4 Cr 2.59-2.63, 3 Fe 2.60-2.61
Cu (0.7488, 0.0000, 0.2758)  5 Cu 2.45-2.54, 3 Cr 2.58-2.62, 4 Fe 2.59-2.63
Cu (0.9975, 0.5000, 0.5045)  5 Cu 2.45-2.54, 4 Cr 2.59-2.63, 3 Fe 2.60-2.61

Compound: CrFe2Cu2
Source: Alexandria via LeMat-Bulk
Functional: PBE-GGA
Structure: optimized geometry

Lattice parameters (Å, degrees): 6.6761 6.6761 2.6063 90.00 90.00 90.00
Last column: nearest neighbours and their distance in Å.
Element x y z (fractional)
Cr (0.0000, 0.0000, 0.0000)  2 Cr 2.61, 4 Cu 2.62, 8 Fe 2.80
Cr (0.5000, 0.5000, 0.0000)  2 Cr 2.61, 4 Cu 2.62, 8 Fe 2.80
Fe (0.1698, 0.3302, 0.5000)  6 Cu 2.30-2.40
Fe (0.3302, 0.8302, 0.5000)  6 Cu 2.30-2.40
Fe (0.6698, 0.1698, 0.5000)  6 Cu 2.30-2.40
Fe (0.8302, 0.6698, 0.5000)  6 Cu 2.30-2.40
Cu (0.1290, 0.6290, 0.0000)  6 Fe 2.30-2.40, 1 Cu 2.44
Cu (0.3710, 0.1290, 0.0000)  6 Fe 2.30-2.40, 1 Cu 2.44
Cu (0.6290, 0.8710, 0.0000)  6 Fe 2.30-2.40, 1 Cu 2.44
Cu (0.8710, 0.3710, 0.0000)  6 Fe 2.30-2.40, 1 Cu 2.44

Compound: Cr2Fe2Cu
Source: Alexandria via LeMat-Bulk
Functional: PBE-GGA
Structure: optimized geometry

Lattice parameters (Å, degrees): 6.6989 6.6989 2.5772 90.00 90.00 90.00
Last column: nearest neighbours and their distance in Å.
Element x y z (fractional)
Cr (0.1631, 0.3369, 0.0000)  6 Fe 2.31-2.38, 2 Cr 2.58
Cr (0.3369, 0.8369, 0.0000)  6 Fe 2.31-2.38, 2 Cr 2.58
Cr (0.6631, 0.1631, 0.0000)  6 Fe 2.31-2.38, 2 Cr 2.58
Cr (0.8369, 0.6631, 0.0000)  6 Fe 2.31-2.38, 2 Cr 2.58
Fe (0.1341, 0.6341, 0.5000)  6 Cr 2.31-2.38, 3 Fe 2.54-2.58
Fe (0.3659, 0.1341, 0.5000)  6 Cr 2.31-2.38, 3 Fe 2.54-2.58
Fe (0.6341, 0.8659, 0.5000)  6 Cr 2.31-2.38, 3 Fe 2.54-2.58
Fe (0.8659, 0.3659, 0.5000)  6 Cr 2.31-2.38, 3 Fe 2.54-2.58
Cu (0.0000, 0.0000, 0.5000)  2 Cu 2.58, 4 Fe 2.61, 8 Cr 2.82
Cu (0.5000, 0.5000, 0.5000)  2 Cu 2.58, 4 Fe 2.61, 8 Cr 2.82

Compound: CrFeCu2
Source: Alexandria via LeMat-Bulk
Functional: PBE-GGA
Structure: optimized geometry

Lattice parameters (Å, degrees): 5.8164 5.8164 5.8164 90.00 90.00 90.00
Last column: nearest neighbours and their distance in Å.
Element x y z (fractional)
Cr (0.0000, 0.0000, 0.0000)  4 Cu 2.52, 4 Fe 2.52
Cr (0.0000, 0.5000, 0.5000)  4 Cu 2.52, 4 Fe 2.52
Cr (0.5000, 0.0000, 0.5000)  4 Cu 2.52, 4 Fe 2.52
Cr (0.5000, 0.5000, 0.0000)  4 Cu 2.52, 4 Fe 2.52
Fe (0.2500, 0.2500, 0.7500)  4 Cr 2.52, 4 Cu 2.52
Fe (0.2500, 0.7500, 0.2500)  4 Cr 2.52, 4 Cu 2.52
Fe (0.7500, 0.2500, 0.2500)  4 Cr 2.52, 4 Cu 2.52
Fe (0.7500, 0.7500, 0.7500)  4 Cr 2.52, 4 Cu 2.52
Cu (0.0000, 0.0000, 0.5000)  4 Fe 2.52, 4 Cu 2.52
Cu (0.0000, 0.5000, 0.0000)  4 Fe 2.52, 4 Cu 2.52
Cu (0.2500, 0.2500, 0.2500)  4 Cu 2.52, 4 Cr 2.52
Cu (0.2500, 0.7500, 0.7500)  4 Cr 2.52, 4 Cu 2.52
Cu (0.5000, 0.0000, 0.0000)  4 Fe 2.52, 4 Cu 2.52
Cu (0.5000, 0.5000, 0.5000)  4 Fe 2.52, 4 Cu 2.52
Cu (0.7500, 0.2500, 0.7500)  4 Cr 2.52, 4 Cu 2.52
Cu (0.7500, 0.7500, 0.2500)  4 Cr 2.52, 4 Cu 2.52

Compound: Cr2Fe2Cu
Source: Alexandria via LeMat-Bulk
Functional: PBE-GGA
Structure: optimized geometry

Lattice parameters (Å, degrees): 6.8342 6.8342 2.5158 90.00 90.00 90.00
Last column: nearest neighbours and their distance in Å.
Element x y z (fractional)
Cr (0.1430, 0.3570, 0.0000)  6 Fe 2.36-2.37, 2 Cr 2.52, 2 Cu 2.63
Cr (0.3570, 0.8570, 0.0000)  6 Fe 2.36-2.37, 2 Cr 2.52, 2 Cu 2.63
Cr (0.6430, 0.1430, 0.0000)  6 Fe 2.36-2.37, 2 Cr 2.52, 2 Cu 2.63
Cr (0.8570, 0.6430, 0.0000)  6 Fe 2.36-2.37, 2 Cr 2.52, 2 Cu 2.63
Fe (0.1506, 0.6506, 0.5000)  6 Cr 2.36-2.37, 2 Fe 2.52
Fe (0.3494, 0.1506, 0.5000)  6 Cr 2.36-2.37, 2 Fe 2.52
Fe (0.6506, 0.8494, 0.5000)  6 Cr 2.36-2.37, 2 Fe 2.52
Fe (0.8494, 0.3494, 0.5000)  6 Cr 2.36-2.37, 2 Fe 2.52
Cu (0.0000, 0.0000, 0.0000)  2 Cu 2.52, 4 Cr 2.63
Cu (0.5000, 0.5000, 0.0000)  2 Cu 2.52, 4 Cr 2.63

Compound: CrFeCu2
Source: Alexandria via LeMat-Bulk
Functional: PBE-GGA
Structure: optimized geometry

Lattice parameters (Å, degrees): 8.7606 2.5153 4.3631 90.00 99.14 90.00
Last column: nearest neighbours and their distance in Å.
Element x y z (fractional)
Cr (0.0000, 0.0000, 0.0000)  2 Cr 2.52, 4 Fe 2.52, 6 Cu 2.60-2.62
Cr (0.5000, 0.5000, 0.0000)  2 Cr 2.52, 4 Fe 2.52, 6 Cu 2.60-2.62
Fe (0.0000, 0.5000, 0.5000)  2 Fe 2.52, 4 Cr 2.52, 6 Cu 2.60
Fe (0.5000, 0.0000, 0.5000)  2 Fe 2.52, 4 Cr 2.52, 6 Cu 2.60
Cu (0.2494, 0.0000, 0.7486)  6 Cu 2.51-2.53, 3 Cr 2.60-2.62, 3 Fe 2.60
Cu (0.2506, 0.5000, 0.2514)  6 Cu 2.51-2.53, 3 Cr 2.60-2.62, 3 Fe 2.60
Cu (0.7494, 0.5000, 0.7486)  6 Cu 2.51-2.53, 3 Cr 2.60-2.62, 3 Fe 2.60
Cu (0.7506, 0.0000, 0.2514)  6 Cu 2.51-2.53, 3 Cr 2.60-2.62, 3 Fe 2.60

Compound: CrFeCu2
Source: Alexandria via LeMat-Bulk
Functional: PBE-GGA
Structure: optimized geometry

Lattice parameters (Å, degrees): 5.1215 7.6512 2.4572 90.00 90.00 90.00
Last column: nearest neighbours and their distance in Å.
Element x y z (fractional)
Cr (0.0000, 0.0000, 0.0000)  2 Cr 2.46, 2 Fe 2.56, 8 Cu 2.61
Cr (0.5000, 0.5000, 0.0000)  2 Cr 2.46, 2 Fe 2.56, 8 Cu 2.61
Fe (0.0000, 0.5000, 0.0000)  2 Fe 2.46, 2 Cr 2.56, 8 Cu 2.61
Fe (0.5000, 0.0000, 0.0000)  2 Fe 2.46, 2 Cr 2.56, 8 Cu 2.61
Cu (0.2500, 0.2500, 0.5000)  4 Cu 2.46-2.56, 4 Cr 2.61, 4 Fe 2.61
Cu (0.2500, 0.7500, 0.5000)  4 Cu 2.46-2.56, 4 Cr 2.61, 4 Fe 2.61
Cu (0.7500, 0.2500, 0.5000)  4 Cu 2.46-2.56, 4 Fe 2.61, 4 Cr 2.61
Cu (0.7500, 0.7500, 0.5000)  4 Cu 2.46-2.56, 4 Cr 2.61, 4 Fe 2.61

Compound: CrFeCu2
Source: Alexandria via LeMat-Bulk
Functional: PBE-GGA
Structure: optimized geometry

Lattice parameters (Å, degrees): 6.6055 6.6055 4.7341 90.00 90.00 90.00
Last column: nearest neighbours and their distance in Å.
Element x y z (fractional)
Cr (0.0000, 0.0000, 0.0000)  2 Fe 2.37, 4 Cu 2.42
Cr (0.0000, 0.5000, 0.2500)  2 Fe 2.37, 4 Cu 2.42
Cr (0.5000, 0.0000, 0.7500)  2 Fe 2.37, 4 Cu 2.42
Cr (0.5000, 0.5000, 0.5000)  2 Fe 2.37, 4 Cu 2.42
Fe (0.0000, 0.0000, 0.5000)  2 Cr 2.37, 4 Cu 2.40
Fe (0.0000, 0.5000, 0.7500)  2 Cr 2.37, 4 Cu 2.40
Fe (0.5000, 0.0000, 0.2500)  2 Cr 2.37, 4 Cu 2.40
Fe (0.5000, 0.5000, 0.0000)  2 Cr 2.37, 4 Cu 2.40
Cu (0.2476, 0.2500, 0.6250)  2 Cu 2.37, 2 Fe 2.40, 2 Cr 2.42
Cu (0.2500, 0.7476, 0.8750)  2 Cu 2.37, 2 Fe 2.40, 2 Cr 2.42
Cu (0.2500, 0.7524, 0.3750)  2 Cu 2.37, 2 Fe 2.40, 2 Cr 2.42
Cu (0.2524, 0.2500, 0.1250)  2 Cu 2.37, 2 Fe 2.40, 2 Cr 2.42
Cu (0.7476, 0.7500, 0.1250)  2 Cu 2.37, 2 Fe 2.40, 2 Cr 2.42
Cu (0.7500, 0.2476, 0.3750)  2 Cu 2.37, 2 Fe 2.40, 2 Cr 2.42
Cu (0.7500, 0.2524, 0.8750)  2 Cu 2.37, 2 Fe 2.40, 2 Cr 2.42
Cu (0.7524, 0.7500, 0.6250)  2 Cu 2.37, 2 Fe 2.40, 2 Cr 2.42

Compound: Cr2GaFeCu
Source: Alexandria via LeMat-Bulk
Functional: PBE-GGA
Structure: optimized geometry

Lattice parameters (Å, degrees): 4.6009 4.6009 4.3006 90.00 90.00 90.00
Last column: nearest neighbours and their distance in Å.
Element x y z (fractional)
Cr (0.0000, 0.5000, 0.0000)  2 Ga 2.30
Cr (0.5000, 0.0000, 0.0000)  2 Ga 2.30
Ga (0.0000, 0.0000, 0.0000)  2 Cu 2.15, 4 Cr 2.30
Fe (0.5000, 0.5000, 0.5000)  8 Cr 3.15, 4 Cu 3.25
Cu (0.0000, 0.0000, 0.5000)  2 Ga 2.15

Compound: CrFeCuGe
Source: Alexandria via LeMat-Bulk
Functional: PBE-GGA
Structure: optimized geometry

Lattice parameters (Å, degrees): 5.8589 5.8589 5.8589 90.00 90.00 90.00
Last column: nearest neighbours and their distance in Å.
Element x y z (fractional)
Cr (0.0000, 0.0000, 0.0000)  4 Ge 2.54, 4 Cu 2.54
Cr (0.0000, 0.5000, 0.5000)  4 Ge 2.54, 4 Cu 2.54
Cr (0.5000, 0.0000, 0.5000)  4 Ge 2.54, 4 Cu 2.54
Cr (0.5000, 0.5000, 0.0000)  4 Ge 2.54, 4 Cu 2.54
Fe (0.0000, 0.0000, 0.5000)  4 Ge 2.54, 4 Cu 2.54
Fe (0.0000, 0.5000, 0.0000)  4 Ge 2.54, 4 Cu 2.54
Fe (0.5000, 0.0000, 0.0000)  4 Ge 2.54, 4 Cu 2.54
Fe (0.5000, 0.5000, 0.5000)  4 Ge 2.54, 4 Cu 2.54
Cu (0.2500, 0.2500, 0.7500)  4 Cr 2.54, 4 Fe 2.54
Cu (0.2500, 0.7500, 0.2500)  4 Cr 2.54, 4 Fe 2.54
Cu (0.7500, 0.2500, 0.2500)  4 Cr 2.54, 4 Fe 2.54
Cu (0.7500, 0.7500, 0.7500)  4 Cr 2.54, 4 Fe 2.54
Ge (0.2500, 0.2500, 0.2500)  4 Cr 2.54, 4 Fe 2.54
Ge (0.2500, 0.7500, 0.7500)  4 Cr 2.54, 4 Fe 2.54
Ge (0.7500, 0.2500, 0.7500)  4 Cr 2.54, 4 Fe 2.54
Ge (0.7500, 0.7500, 0.2500)  4 Cr 2.54, 4 Fe 2.54

Compound: CrFeCuGe2
Source: Alexandria via LeMat-Bulk
Functional: PBE-GGA
Structure: optimized geometry

Lattice parameters (Å, degrees): 4.4506 4.4506 4.5305 90.00 90.00 90.00
Last column: nearest neighbours and their distance in Å.
Element x y z (fractional)
Cr (0.0000, 0.0000, 0.0000)  2 Cu 2.27
Fe (0.5000, 0.5000, 0.0000)  4 Cr 3.15, 8 Ge 3.18
Cu (0.0000, 0.0000, 0.5000)  4 Ge 2.23, 2 Cr 2.27
Ge (0.0000, 0.5000, 0.5000)  2 Cu 2.23
Ge (0.5000, 0.0000, 0.5000)  2 Cu 2.23

| no. | spin magnetization (Bohr magnetons per cell) | total DFT energy (no corrections) (eV/atom) | V (Å³/atom) |
| --- | --- | --- | --- |
| 1 | 0.002 | -7.037 | 14.478 |
| 2 | 2.502 | -6.331 | 11.773 |
| 3 | 0.012 | -6.292 | 11.616 |
| 4 | 0.000 | -7.810 | 11.565 |
| 5 | 1.380 | -6.302 | 12.298 |
| 6 | 0.000 | -7.728 | 11.750 |
| 7 | 1.104 | -6.329 | 11.866 |
| 8 | 8.453 | -6.261 | 12.036 |
| 9 | 10.617 | -5.769 | 12.910 |
| 10 | 7.056 | -5.451 | 18.207 |
| 11 | 16.655 | -6.577 | 12.569 |
| 12 | 3.348 | -5.004 | 17.948 |